Entry 1:
Density functional theory data (PBE) for a relaxed structure of Ca2TaRh.

a b c (Å): 10.0550 10.0550 10.0550
angles (deg): 18.30 18.30 18.30
Positions (direct):
Ca 0.9895 0.9895 0.9895
Ca 0.5105 0.5105 0.5105
Rh 0.2500 0.2500 0.2500
Ta 0.7500 0.7500 0.7500

Computed properties:
ΔH_f (0 K) = 36 kJ/mol of atoms
Magnetic moment = 0.0 μB/f.u.
Offset from the most stable computed form = 40.3 kJ per mole of atoms
Raw total energy = -21.7 eV for the cell shown

***

Entry 2:
Density functional theory data (PBE) for a relaxed structure of Ca2TaRh.

a b c (Å): 5.0815 5.0815 5.0815
angles (deg): 60.00 60.00 60.00
Last column: magnetic moment on the atom in μB.
Positions (direct):
Ca 0.2500 0.2500 0.2500  0.14
Ca 0.7500 0.7500 0.7500  0.14
Rh 0.0000 0.0000 0.0000  0.15
Ta 0.5000 0.5000 0.5000  2.03

Computed properties:
ΔH_f (0 K) = 67 kJ/mol of atoms
Magnetic moment = 4.0 μB/f.u.
Offset from the most stable computed form = 71.2 kJ per mole of atoms
Raw total energy = -20.4 eV for the cell shown

***

Entry 3:
Density functional theory data (PBE) for a relaxed structure of CaTa2Rh.

a b c (Å): 6.0665 6.0665 4.8758
angles (deg): 66.27 66.27 28.65
Positions (direct):
Ca 0.7500 0.7500 0.7500
Rh 0.2500 0.2500 0.2500
Ta 0.9662 0.9662 0.0338
Ta 0.5338 0.5338 0.4662

Computed properties:
ΔH_f (0 K) = 5 kJ/mol of atoms
Magnetic moment = 0.0 μB/f.u.
Offset from the most stable computed form = 5.9 kJ per mole of atoms
Raw total energy = -32.8 eV for the cell shown